# 1
CaSn2TeBr: optimized geometry, GGA-PBE.

Cell lengths 5.9368, 5.9368, 5.9292 Å; angles 90.00, 90.00, 90.00 degrees
Positions (direct):
Te  0.0000  0.0000  0.0000
Br  0.5000  0.5000  0.5000
Sn  0.5000  0.0000  0.0000
Sn  0.0000  0.5000  0.0000
Ca  0.0000  0.0000  0.5000

Computed properties:
- Formation energy (no corrections): 0.9 kJ/mol of atoms
- ρ: 3.854 g cm⁻³

=====

# 2
Tb2Pr4Al: optimized geometry, GGA-PBE.

Cell lengths 3.6927, 3.6927, 19.8068 Å; angles 84.65, 84.65, 60.00 degrees
Positions (direct):
Pr  0.9066  0.9066  0.2803
Pr  0.7061  0.7061  0.8817
Pr  0.2939  0.2939  0.1183
Pr  0.0934  0.0934  0.7197
Al  0.0000  0.0000  0.0000
Tb  0.1907  0.1907  0.4279
Tb  0.8093  0.8093  0.5721

Computed properties:
- ρ: 6.487 g cm⁻³
- Formation energy from the elements: -0.06 eV per formula unit

=====

# 3
ErBiAu: optimized geometry, GGA-PBE.

Cell lengths 4.3479, 4.5990, 4.5990 Å; angles 120.00, 90.00, 90.00 degrees
Positions (direct):
Au  0.9986  0.0000  0.0000
Er  0.2796  0.3333  0.6667
Bi  0.7217  0.6667  0.3333

Computed properties:
- ρ: 11.952 g cm⁻³
- Formation energy from the elements: -1.74 eV per formula unit

=====

# 4
Pm2CoCu3: optimized geometry, GGA-PBE.

Cell lengths 3.8311, 4.1588, 7.2690 Å; angles 90.00, 90.00, 90.00 degrees
Positions (direct):
Co  0.5000  0.5000  0.3305
Cu  0.5000  0.0000  0.8351
Cu  0.5000  0.5000  0.6593
Cu  0.5000  0.0000  0.1697
Pm  0.0000  0.5000  0.0176
Pm  0.0000  0.0000  0.4878

Computed properties:
- ρ: 7.736 g cm⁻³
- Formation energy from the elements: -0.86 eV per formula unit

=====

# 5
Li2SbPt: optimized geometry, GGA-PBE.

Cell lengths 7.7569, 7.7569, 6.0578 Å; angles 50.19, 50.19, 90.00 degrees
Positions (direct):
Li  0.3750  0.3292  0.7500
Li  0.8750  0.9208  0.7500
Li  0.0792  0.6250  0.2500
Li  0.6708  0.1250  0.2500
Pt  0.0000  0.0000  0.0000
Pt  0.7500  0.2500  0.5000
Sb  0.2500  0.7500  0.5000
Sb  0.5000  0.5000  0.0000

Computed properties:
- Formation energy (no corrections): -26.5 kJ/mol of atoms
- ρ: 7.099 g cm⁻³

=====

# 6
CaMg2F6: optimized geometry, GGA-PBE.

Cell lengths 5.5771, 4.6570, 9.1280 Å; angles 90.00, 90.00, 90.00 degrees
Positions (direct):
F  0.1856  0.2463  0.6821
F  0.8584  0.7024  0.0000
F  0.1416  0.2976  0.0000
F  0.6856  0.2537  0.8179
F  0.1856  0.2463  0.3179
F  0.6856  0.2537  0.1821
F  0.6416  0.2024  0.5000
F  0.3584  0.7976  0.5000
F  0.8144  0.7537  0.6821
F  0.3144  0.7463  0.8179
F  0.8144  0.7537  0.3179
F  0.3144  0.7463  0.1821
Ca  0.0000  0.0000  0.5000
Ca  0.5000  0.5000  0.0000
Mg  0.0000  0.5000  0.8192
Mg  0.0000  0.5000  0.1808
Mg  0.5000  0.0000  0.6808
Mg  0.5000  0.0000  0.3192

Computed properties:
- Offset from the most stable computed form: 78.8 meV per atom
- Formation energy (no corrections): -345.4 kJ/mol of atoms
- ρ: 2.839 g cm⁻³

=====

# 7
BeCo2HPt: optimized geometry, GGA-PBE.

Cell lengths 3.4836, 3.4836, 3.8712 Å; angles 90.00, 90.00, 90.00 degrees
Positions (direct):
Co  0.5000  0.0000  0.0000
Co  0.0000  0.5000  0.0000
Be  0.0000  0.0000  0.5000
H  0.0000  0.0000  0.0000
Pt  0.5000  0.5000  0.5000

Computed properties:
- Offset from the most stable computed form: 0.0 meV per atom
- ρ: 11.416 g cm⁻³

=====

# 8
V4RuRh4: optimized geometry, GGA-PBE.

Cell lengths 3.9038, 5.9912, 5.9912 Å; angles 83.91, 70.99, 70.99 degrees
Positions (direct):
Ru  0.0000  0.0000  0.0000
V  0.0000  0.3196  0.6804
V  0.6804  0.3196  0.3196
V  0.3196  0.6804  0.6804
V  0.0000  0.6804  0.3196
Rh  0.3319  0.3364  0.9999
Rh  0.3318  0.0001  0.3364
Rh  0.6682  0.9999  0.6636
Rh  0.6681  0.6636  0.0001

Computed properties:
- ρ: 9.498 g cm⁻³
- Formation energy from the elements: -2.61 eV per formula unit

=====

# 9
HfZrTe: optimized geometry, GGA-PBE.

Cell lengths 3.8260, 5.6305, 7.6569 Å; angles 107.79, 90.00, 109.86 degrees
Positions (direct):
Zr  0.8830  0.7660  0.7368
Zr  0.1170  0.2340  0.2632
Hf  0.3755  0.7510  0.0486
Hf  0.6245  0.2490  0.9514
Te  0.8455  0.6911  0.3274
Te  0.1545  0.3089  0.6726

Computed properties:
- Offset from the most stable computed form: 0.0 meV per atom
- Formation energy (no corrections): -46.0 kJ/mol of atoms
- ρ: 8.993 g cm⁻³

=====

# 10
Pa3V: optimized geometry, GGA-PBE.

Cell lengths 3.0443, 5.6215, 6.0657 Å; angles 117.61, 104.53, 90.00 degrees
Positions (direct):
Pa  0.2693  0.5651  0.5387
Pa  0.7307  0.0264  0.4613
Pa  0.5000  0.5214  0.0000
V  0.0000  0.0538  0.0000

Computed properties:
- Offset from the most stable computed form: 0.0 meV per atom
- ρ: 14.004 g cm⁻³
- Formation energy from the elements: 0.84 eV per formula unit

=====

# 11
CaTa2ZnN4: optimized geometry, GGA-PBE.

Cell lengths 3.2423, 5.5602, 11.0910 Å; angles 90.00, 90.00, 106.95 degrees
Positions (direct):
N  0.0000  0.0000  0.5000
N  0.0000  0.0000  0.0000
N  0.7297  0.4593  0.6049
N  0.7297  0.4593  0.8951
N  0.2703  0.5407  0.1049
N  0.5601  0.1202  0.2500
N  0.2703  0.5407  0.3951
N  0.4399  0.8798  0.7500
Zn  0.8359  0.6718  0.7500
Zn  0.1641  0.3282  0.2500
Ta  0.6243  0.2487  0.0433
Ta  0.3757  0.7513  0.5433
Ta  0.3757  0.7513  0.9567
Ta  0.6243  0.2487  0.4567
Ca  0.1044  0.2089  0.7500
Ca  0.8956  0.7911  0.2500

Computed properties:
- Formation energy (no corrections): -76.4 kJ/mol of atoms
- ρ: 9.089 g cm⁻³

=====

# 12
Y2AgP: optimized geometry, GGA-PBE.

Cell lengths 4.9256, 4.9256, 3.6583 Å; angles 90.00, 90.00, 90.00 degrees
Positions (direct):
P  0.0000  0.0000  0.5000
Ag  0.5000  0.5000  0.5000
Y  0.0000  0.5000  0.0000
Y  0.5000  0.0000  0.0000

Computed properties:
- ρ: 5.924 g cm⁻³
- Formation energy from the elements: -2.70 eV per formula unit